<A>
# LiCdFeF6

A geometry-optimized LiCdFeF6 structure (PBE+U, Alexandria via LeMat-Bulk).

Cell lengths 5.152, 5.152, 4.814 Å; angles 90.00, 90.00, 120.00 degrees
Fractional coordinates of all 9 atoms:
Li 0.000 0.000 0.000
Cd 0.333 0.667 0.500
Fe 0.667 0.333 0.000
F 0.352 0.033 0.220
F 0.352 0.319 0.780
F 0.681 0.033 0.780
F 0.681 0.648 0.220
F 0.967 0.319 0.220
F 0.967 0.648 0.780

**Density**: 4.34 g cm⁻³
**DOS(E_F)**: 0.00 states/eV per atom
**Symmetry**: P312

***

<B>
# LiCdFeF6

A geometry-optimized LiCdFeF6 structure (PBE+U, Alexandria via LeMat-Bulk).

Cell lengths 5.212, 5.212, 9.713 Å; angles 90.00, 90.00, 120.00 degrees
Fractional coordinates of all 18 atoms:
Li 0.333 0.667 0.250
Li 0.667 0.333 0.750
Cd 0.000 0.000 0.000
Cd 0.000 0.000 0.500
Fe 0.333 0.667 0.750
Fe 0.667 0.333 0.250
F 0.013 0.361 0.862
F 0.013 0.652 0.638
F 0.348 0.361 0.638
F 0.348 0.987 0.862
F 0.361 0.013 0.362
F 0.361 0.348 0.138
F 0.639 0.652 0.862
F 0.639 0.987 0.638
F 0.652 0.013 0.138
F 0.652 0.639 0.362
F 0.987 0.348 0.362
F 0.987 0.639 0.138

**Density**: 4.20 g cm⁻³
**DOS(E_F)**: 0.00 states/eV per atom
**Symmetry**: P-31c

***

In eV/atom, relative to the most stable structure: <A> 0.250; <B> 0.000.